This record from Alexandria via LeMat-Bulk describes a relaxed CdNiRu2 crystal. The functional is PBE.

a b c (Å): 4.956 4.956 4.956
angles (deg): 135.62 135.62 64.56
Element x y z (fractional)
Cd 0.000 0.000 0.000
Ni 0.500 0.500 0.000
Ru 0.250 0.750 0.500
Ru 0.750 0.250 0.500

Summary:
Symmetry = No. 139

---

This record from Alexandria via LeMat-Bulk describes a relaxed MnPRu2 crystal. The functional is PBE.

a b c (Å): 4.180 4.180 4.180
angles (deg): 60.00 60.00 60.00
Element x y z (fractional)
Mn 0.000 0.000 0.000
P 0.500 0.500 0.500
Ru 0.250 0.250 0.250
Ru 0.750 0.750 0.750

Summary:
Symmetry = No. 225

---

Number 1: E_tot -5.88 eV/atom, D(E_F) 6.252 states/eV/f.u.. Number 2: E_tot -8.51 eV/atom, D(E_F) 2.198 states/eV/f.u..